No. 1
This record from Alexandria via LeMat-Bulk describes TlCuSe2Br after structural relaxation. The functional is PBE.

The space group is P4/mmm (No. 123) and the conventional cell measures 5.380, 5.380 and 5.716 Å, with angles of 90.00, 90.00 and 90.00 degrees. The distinct sites, in fractional coordinates, are Tl at (0.000, 0.000, 0.000), Cu at (0.500, 0.500, 0.500), Se at (0.000, 0.500, 0.000) and Br at (0.000, 0.000, 0.500).

The value obtained for the raw formation energy is 717 meV/atom. The energy above the most stable polymorph in this dataset is 0.722 eV/atom.


No. 2
This record from Alexandria via LeMat-Bulk describes Pm2AlZnIr2 after structural relaxation. The functional is PBE.

The space group is Ibam (No. 72) and the conventional cell measures 5.838, 14.397 and 5.873 Å, with angles of 90.00, 90.00 and 90.00 degrees. The distinct sites, in fractional coordinates, are Pm at (0.237, 0.170, 0.000), Al at (0.000, 0.500, 0.250), Zn at (0.000, 0.000, 0.250) and Ir at (0.232, 0.387, 0.000).

For the formation energy, the calculation gives -701 meV/atom.


No. 3
This record from Alexandria via LeMat-Bulk describes LiTlS2Cl after structural relaxation. The functional is PBE.

The space group is P4/mmm (No. 123) and the conventional cell measures 5.092, 5.092 and 5.590 Å, with angles of 90.00, 90.00 and 90.00 degrees. The distinct sites, in fractional coordinates, are Li at (0.000, 0.000, 0.000), Tl at (0.500, 0.500, 0.500), S at (0.000, 0.500, 0.500) and Cl at (0.500, 0.500, 0.000).

The value obtained for the raw formation energy is -56 meV/atom. The energy above the most stable polymorph in this dataset is 0.078 eV/atom.


No. 4
This record from Alexandria via LeMat-Bulk describes PaBe2SeO8 after structural relaxation. The functional is PBE.

The space group is P-3m1 (No. 164) and the conventional cell measures 5.0194, 5.0194 and 6.1836 Å, with angles of 90.00, 90.00 and 120.00 degrees. The distinct sites, in fractional coordinates, are Pa at (0.0000, 0.0000, 0.0000), Be at (0.3333, 0.6667, 0.2501), Se at (0.0000, 0.0000, 0.5000), O at (0.1561, 0.3122, 0.3087) and O at (0.3333, 0.6667, 0.9915).

The value obtained for the raw formation energy is -1712 meV/atom.


No. 5
This record from Alexandria via LeMat-Bulk describes YZrHg2 after structural relaxation. The functional is PBE.

The space group is P4mm (No. 99) and the conventional cell measures 3.779, 3.779 and 6.799 Å, with angles of 90.00, 90.00 and 90.00 degrees. The distinct sites, in fractional coordinates, are Y at (0.000, 0.000, 0.000), Zr at (0.500, 0.500, 0.292), Hg at (0.000, 0.000, 0.503) and Hg at (0.500, 0.500, 0.757).

The energy above the most stable polymorph in this dataset is 0.098 eV/atom. For the formation energy, the calculation gives -182 meV/atom.


No. 6
This record from Alexandria via LeMat-Bulk describes Pm2Si2Pd3 after structural relaxation. The functional is PBE.

The space group is Cmcm (No. 63) and the conventional cell measures 4.139, 19.343 and 6.901 Å, with angles of 90.00, 90.00 and 90.00 degrees. The distinct sites, in fractional coordinates, are Pm at (0.000, 0.057, 0.250), Pm at (0.000, 0.157, 0.750), Si at (0.000, 0.311, 0.562), Pd at (0.000, 0.221, 0.250) and Pd at (0.000, 0.433, 0.050).

The value obtained for the raw formation energy is -787 meV/atom. The energy above the most stable polymorph in this dataset is 0.092 eV/atom.


No. 7
This record from Alexandria via LeMat-Bulk describes Sr2BeBi after structural relaxation. The functional is PBE.

The space group is Fm-3m (No. 225) and the conventional cell measures 8.007, 8.007 and 8.007 Å, with angles of 90.00, 90.00 and 90.00 degrees. The distinct sites, in fractional coordinates, are Sr at (0.250, 0.250, 0.250), Be at (0.000, 0.000, 0.000) and Bi at (0.000, 0.000, 0.500).

The energy above the most stable polymorph in this dataset is 0.000 eV/atom. For the formation energy, the calculation gives -100 meV/atom.


No. 8
This record from Alexandria via LeMat-Bulk describes RbNaBr after structural relaxation. The functional is PBE.

The space group is P3m1 (No. 156) and the conventional cell measures 4.5425, 4.5425 and 7.6957 Å, with angles of 90.00, 90.00 and 120.00 degrees. The distinct sites, in fractional coordinates, are Rb at (0.0000, 0.0000, 0.0000), Na at (0.3333, 0.6667, 0.5045) and Br at (0.6667, 0.3333, 0.2996).

The value obtained for the raw formation energy is -985 meV/atom.


No. 9
This record from Alexandria via LeMat-Bulk describes LaNd2Y6Tm3 after structural relaxation. The functional is PBE.

The space group is C2/m (No. 12) and the conventional cell measures 6.219, 10.767 and 11.851 Å, with angles of 90.00, 100.06 and 90.00 degrees. The distinct sites, in fractional coordinates, are La at (0.000, 0.000, 0.000), Nd at (0.000, 0.333, 0.000), Y at (0.247, 0.333, 0.744), Y at (0.248, 0.000, 0.744), Tm at (0.000, 0.167, 0.500) and Tm at (0.000, 0.500, 0.500).

For the formation energy, the calculation gives 25 meV/atom.


No. 10
This record from Alexandria via LeMat-Bulk describes MoP2Au after structural relaxation. The functional is PBE.

The space group is P4mm (No. 99) and the conventional cell measures 3.477, 3.477 and 5.197 Å, with angles of 90.00, 90.00 and 90.00 degrees. The distinct sites, in fractional coordinates, are Mo at (0.000, 0.000, 0.000), P at (0.000, 0.000, 0.528), P at (0.500, 0.500, 0.148) and Au at (0.500, 0.500, 0.647).

The energy above the most stable polymorph in this dataset is 0.089 eV/atom. For the formation energy, the calculation gives 57 meV/atom.


No. 11
This record from Alexandria via LeMat-Bulk describes CaMo3I after structural relaxation. The functional is PBE.

The space group is Pm-3m (No. 221) and the conventional cell measures 4.806, 4.806 and 4.806 Å, with angles of 90.00, 90.00 and 90.00 degrees. The distinct sites, in fractional coordinates, are Ca at (0.000, 0.000, 0.000), Mo at (0.000, 0.000, 0.500) and I at (0.500, 0.500, 0.500).

The value obtained for the raw formation energy is 2802 meV/atom. The energy above the most stable polymorph in this dataset is 1.142 eV/atom.


No. 12
This record from Alexandria via LeMat-Bulk describes Dy5Er3Sb8 after structural relaxation. The functional is PBE.

The space group is R-3m (No. 166, hexagonal axes) and the conventional cell measures 8.7443, 8.7443 and 21.4174 Å, with angles of 90.00, 90.00 and 120.00 degrees. The distinct sites, in fractional coordinates, are Dy at (0.0000, 0.0000, 0.0000), Dy at (0.0000, 0.0000, 0.5000), Dy at (0.0000, 0.5000, 0.0000), Er at (0.0000, 0.5000, 0.5000), Sb at (0.0000, 0.0000, 0.2493) and Sb at (0.0010, 0.5005, 0.7505).

The value obtained for the raw formation energy is -1117 meV/atom.


Listing total energy for the structures above in their given order: -2.30 -6.07 -2.93 -6.72 -4.09 -5.92 -2.84 -2.31 -5.53 -6.18 -4.41 -5.47 eV/atom.